Ba3HgN at its PBEsol-relaxed geometry. Source: Alexandria, functional meta-GGA SCAN.

Summary:
Energy relative to the elements, uncorrected in eV/atom: -0.482

abc: 5.5170 5.5170 5.5170
angles: 90.00 90.00 90.00
Closest atoms and distances in Å follow each position.
Fractional coordinates of all 5 atoms:
Ba1 0.0000 0.0000 0.5000  2 N 2.76
Ba2 0.0000 0.5000 0.0000  2 N 2.76
Ba3 0.5000 0.0000 0.0000  2 N 2.76
Hg1 0.5000 0.5000 0.5000  12 Ba 3.90
N1 0.0000 0.0000 0.0000  6 Ba 2.76



RbGe2Au2 at its PBEsol-relaxed geometry. Source: Alexandria, functional meta-GGA SCAN.

Summary:
Formation energy from the elements in eV/atom: -0.228

abc: 6.2232 6.2232 6.2232
angles: 135.70 135.70 64.45
Closest atoms and distances in Å follow each position.
Fractional coordinates of all 5 atoms:
Rb1 0.0000 0.0000 0.0000  8 Ge 3.53, 10 Au 3.64-3.77
Ge1 0.2500 0.7500 0.5000  4 Au 2.61
Ge2 0.7500 0.2500 0.5000  4 Au 2.61
Au1 0.3582 0.3582 0.0000  4 Ge 2.61
Au2 0.6418 0.6418 0.0000  4 Ge 2.61